RbH2Pt (PBE, optimized geometry); raw total energy = -2.416 eV per atom; ΔE to the lowest computed polymorph = 1132 meV per atom; total magnetic moment = 0.000 μB/atom; crystal system = cubic; symmetry = Fm-3m, No. 225
1.0
-1.252 -4.218 -0.693
-3.209 -1.810 2.503
-3.987 -0.876 -1.782
H Pt Rb
2 1 1
Direct
0.750 0.750 0.750
0.250 0.250 0.250
0.500 0.500 0.500
0.000 0.000 0.000


Rb5H8Pt (PBE, optimized geometry); raw total energy = -2.736 eV per atom; total magnetic moment = 0.074 μB/atom; crystal system = tetragonal; symmetry = I-4, No. 82
1.0
7.364 -0.051 0.088
-2.540 6.912 -0.088
-2.284 -3.520 6.052
Rb H Pt
5 8 1
Direct
0.059 0.420 0.216
0.500 0.000 0.500
0.797 0.580 0.639
0.784 0.842 0.203
0.361 0.158 0.941
0.247 0.697 0.948
0.052 0.298 0.749
0.689 0.193 0.286
0.251 0.303 0.549
0.093 0.807 0.497
0.714 0.404 0.907
0.451 0.702 0.753
0.503 0.596 0.311
0.250 0.500 0.750


Rb5H6Pt (PBE, optimized geometry); raw total energy = -2.573 eV per atom; total magnetic moment = 0.086 μB/atom; crystal system = monoclinic; symmetry = C2/m, No. 12
1.0
-2.224 1.944 -6.145
-6.560 -2.625 -0.561
-5.540 3.814 2.160
Rb H Pt
5 6 1
Direct
0.500 0.848 0.304
0.500 0.500 0.000
0.500 0.152 0.696
0.000 0.304 0.391
0.000 0.696 0.609
0.717 0.454 0.654
0.283 0.546 0.346
0.283 0.891 0.654
0.142 0.163 0.000
0.717 0.109 0.346
0.858 0.837 0.000
0.000 0.000 0.000


RbH3Pt (PBE, optimized geometry); raw total energy = -3.555 eV per atom; ΔE to the lowest computed polymorph = 162 meV per atom; total magnetic moment = 0.000 μB/atom; crystal system = cubic; symmetry = Pm-3m, No. 221
1.0
3.881 0.000 0.000
0.000 3.881 0.000
0.000 0.000 3.881
H Pt Rb
3 1 1
Direct
0.500 0.000 0.000
0.000 0.500 0.000
0.000 0.000 0.500
0.000 0.000 0.000
0.500 0.500 0.500


RbH3Pt (PBE, optimized geometry); raw total energy = -3.717 eV per atom; ΔE to the lowest computed polymorph = 0 meV per atom; total magnetic moment = 0.000 μB/atom; crystal system = triclinic; symmetry = P-1, No. 2
1.0
5.785 -0.234 0.000
-0.275 5.497 -0.416
-2.649 -0.282 5.145
Pt H Rb
2 6 2
Direct
0.993 0.151 0.742
0.993 0.651 0.742
0.121 0.275 0.055
0.100 0.401 0.636
0.680 0.525 0.615
0.864 0.026 0.429
0.885 0.901 0.848
0.305 0.776 0.869
0.332 0.901 0.402
0.653 0.401 0.082


Rb2HPtRh (PBE, optimized geometry); raw total energy = -3.168 eV per atom; total magnetic moment = 0.261 μB/atom; crystal system = tetragonal; symmetry = P4/mmm, No. 123
1.0
6.292 0.000 0.000
0.000 3.285 0.000
0.000 0.000 6.292
Rb Pt Rh H
2 1 1 1
Direct
0.000 0.000 0.500
0.500 0.000 0.000
0.500 0.500 0.500
0.000 0.000 0.000
0.000 0.500 0.000